1.
A plane-wave DFT calculation with PBE was carried out for a relaxed CaPrNdGa crystal.

a b c (Å): 5.503 5.503 5.503
angles (deg): 60.00 60.00 60.00
Fractional coordinates of all 4 atoms:
1 Pr 0.500 0.500 0.500
2 Ca 0.250 0.250 0.250
3 Ga 0.750 0.750 0.750
4 Nd 0.000 0.000 0.000

## Properties
Space-group type: No. 216
Fermi-level density of states, states/eV/cell: 2.70
Formation enthalpy at 0 K, eV/f.u.: -0.55
Crystal system: cubic
Total moment, μB/cell: 0.00

=====

2.
A plane-wave DFT calculation with PBE was carried out for a relaxed CaNdGa2Pt2 crystal.

a b c (Å): 4.431 4.431 7.660
angles (deg): 90.00 90.00 120.00
Fractional coordinates of all 6 atoms:
1 Pt 0.667 0.333 0.242
2 Pt 0.333 0.667 0.758
3 Nd 0.000 0.000 0.000
4 Ga 0.333 0.667 0.255
5 Ga 0.667 0.333 0.745
6 Ca 0.000 0.000 0.500

## Properties
Space-group type: No. 164
Fermi-level density of states, states/eV/cell: 2.27
Formation enthalpy at 0 K, eV/f.u.: -5.69
Crystal system: trigonal
Total moment, μB/cell: 0.00

=====

3.
A plane-wave DFT calculation with PBE was carried out for a relaxed Ca2NdGa3Pt4 crystal.

a b c (Å): 4.286 4.286 11.522
angles (deg): 90.00 90.00 90.00
Fractional coordinates of all 10 atoms:
1 Ca 0.000 0.500 0.777
2 Ca 0.500 0.000 0.223
3 Pt 0.500 0.500 0.000
4 Pt 0.000 0.000 0.000
5 Pt 0.000 0.500 0.338
6 Pt 0.500 0.000 0.662
7 Ga 0.500 0.000 0.878
8 Ga 0.000 0.500 0.122
9 Ga 0.000 0.000 0.500
10 Nd 0.500 0.500 0.500

## Properties
Space-group type: No. 115
Fermi-level density of states, states/eV/cell: 6.51
Formation enthalpy at 0 K, eV/f.u.: -8.52
Crystal system: tetragonal
Total moment, μB/cell: 0.00

=====

4.
A plane-wave DFT calculation with PBE was carried out for a relaxed CaNdGaRu crystal.

a b c (Å): 5.038 5.038 5.038
angles (deg): 60.00 60.00 60.00
Fractional coordinates of all 4 atoms:
1 Ca 0.000 0.000 0.000
2 Ga 0.250 0.250 0.250
3 Nd 0.500 0.500 0.500
4 Ru 0.750 0.750 0.750

## Properties
Space-group type: No. 216
Fermi-level density of states, states/eV/cell: 4.19
Formation enthalpy at 0 K, eV/f.u.: -0.60
Crystal system: cubic
Total moment, μB/cell: 0.00

=====

5.
A plane-wave DFT calculation with PBE was carried out for a relaxed CaNdGaSn crystal.

a b c (Å): 4.650 4.296 6.149
angles (deg): 90.00 112.21 90.00
Fractional coordinates of all 4 atoms:
1 Nd 0.134 0.000 0.269
2 Ga 0.582 0.500 0.164
3 Sn 0.424 0.000 0.849
4 Ca 0.860 0.500 0.719

## Properties
Space-group type: No. 38
Fermi-level density of states, states/eV/cell: 2.09
Formation enthalpy at 0 K, eV/f.u.: -2.58
Crystal system: orthorhombic
Total moment, μB/cell: 0.00

=====

6.
A plane-wave DFT calculation with PBE was carried out for a relaxed CaNdGaSn crystal.

a b c (Å): 5.355 5.355 5.355
angles (deg): 60.00 60.00 60.00
Fractional coordinates of all 4 atoms:
1 Ca 0.000 0.000 0.000
2 Ga 0.750 0.750 0.750
3 Sn 0.250 0.250 0.250
4 Nd 0.500 0.500 0.500

## Properties
Space-group type: No. 216
Fermi-level density of states, states/eV/cell: 2.28
Formation enthalpy at 0 K, eV/f.u.: -2.13
Crystal system: cubic
Total moment, μB/cell: 0.00

=====

7.
A plane-wave DFT calculation with PBE was carried out for a relaxed CaNdTlGa crystal.

a b c (Å): 5.377 5.377 5.377
angles (deg): 60.00 60.00 60.00
Fractional coordinates of all 4 atoms:
1 Tl 0.250 0.250 0.250
2 Ca 0.500 0.500 0.500
3 Ga 0.750 0.750 0.750
4 Nd 0.000 0.000 0.000

## Properties
Space-group type: No. 216
Fermi-level density of states, states/eV/cell: 3.45
Formation enthalpy at 0 K, eV/f.u.: -1.68
Crystal system: cubic
Total moment, μB/cell: 0.00

=====

8.
A plane-wave DFT calculation with PBE was carried out for a relaxed CaNdTlGa crystal.

a b c (Å): 3.768 3.768 7.690
angles (deg): 90.00 90.00 90.00
Fractional coordinates of all 4 atoms:
1 Ga 0.500 0.500 0.605
2 Nd 0.000 0.000 0.839
3 Ca 0.000 0.000 0.371
4 Tl 0.500 0.500 0.113

## Properties
Space-group type: No. 99
Fermi-level density of states, states/eV/cell: 2.40
Formation enthalpy at 0 K, eV/f.u.: -1.82
Crystal system: tetragonal
Total moment, μB/cell: 0.00